# Mn2ReOs

Crystalline Mn2ReOs at its relaxed geometry (GGA-PBEsol, the Alexandria database).

Geometry as CIF:
```
data_Mn2ReOs
_chemical_formula_sum 'Mn2 Re1 Os1'
_cell_length_a 2.8731
_cell_length_b 2.8731
_cell_length_c 6.0153
_cell_angle_alpha 90.00
_cell_angle_beta 90.00
_cell_angle_gamma 90.00
_symmetry_space_group_name_H-M 'P 1'
_symmetry_Int_Tables_number 1
loop_
_symmetry_equiv_pos_as_xyz
'x,y,z'
loop_
_atom_site_label
_atom_site_type_symbol
_atom_site_fract_x
_atom_site_fract_y
_atom_site_fract_z
Re1 Re 0.5000 0.5000 0.7663
Os1 Os 0.0000 0.0000 0.4837
Mn1 Mn 0.5000 0.5000 0.2006
Mn2 Mn 0.0000 0.0000 0.0494
```

The formation energy is 0.1363 eV/atom. Its crystal system is tetragonal. Its space-group type is P4mm. The value obtained for the volume is 50 Å³ per cell.



# Li2MgMnCl

Crystalline Li2MgMnCl at its relaxed geometry (GGA-PBEsol, the Alexandria database).

Geometry as CIF:
```
data_Li2MgMnCl
_chemical_formula_sum 'Li2 Mg1 Mn1 Cl1'
_cell_length_a 4.9999
_cell_length_b 4.9999
_cell_length_c 5.2708
_cell_angle_alpha 90.00
_cell_angle_beta 90.00
_cell_angle_gamma 90.00
_symmetry_space_group_name_H-M 'P 1'
_symmetry_Int_Tables_number 1
loop_
_symmetry_equiv_pos_as_xyz
'x,y,z'
loop_
_atom_site_label
_atom_site_type_symbol
_atom_site_fract_x
_atom_site_fract_y
_atom_site_fract_z
Li1 Li 0.5000 0.0000 0.0000
Li2 Li 0.0000 0.5000 0.0000
Cl1 Cl 0.5000 0.5000 0.5000
Mg1 Mg 0.0000 0.0000 0.5000
Mn1 Mn 0.0000 0.0000 0.0000
```

Its crystal system is tetragonal. Its space-group type is P4/mmm. Its formation energy from raw total energies is 255 kJ/mol of formula units. The value obtained for the volume is 132 Å³ per cell.



# CaSbAs2

Crystalline CaSbAs2 at its relaxed geometry (GGA-PBEsol, the Alexandria database).

Geometry as CIF:
```
data_CaSbAs2
_chemical_formula_sum 'Ca1 Sb1 As2'
_cell_length_a 3.8359
_cell_length_b 4.3834
_cell_length_c 6.0612
_cell_angle_alpha 96.99
_cell_angle_beta 90.00
_cell_angle_gamma 90.00
_symmetry_space_group_name_H-M 'P 1'
_symmetry_Int_Tables_number 1
loop_
_symmetry_equiv_pos_as_xyz
'x,y,z'
loop_
_atom_site_label
_atom_site_type_symbol
_atom_site_fract_x
_atom_site_fract_y
_atom_site_fract_z
As1 As 0.5000 0.4585 0.3716
As2 As 0.0000 0.0062 0.9106
Sb1 Sb 0.5000 0.5722 0.8121
Ca1 Ca 0.0000 0.9632 0.4058
```

Its crystal system is monoclinic. Its space-group type is Pm. Its formation energy from raw total energies is -174 kJ/mol of formula units. The value obtained for the volume is 101 Å³ per cell.